(1)
# Cu2BiF11, relaxed, DFT PBE
# - formation energy from raw total energies (eV/atom) = -1.406
# - calculated volume (Å³ per cell) = 779.5
data_Cu2BiF11
_cell_length_a 10.1119
_cell_length_b 8.8702
_cell_length_c 8.6901
_cell_angle_alpha 90.00
_cell_angle_beta 90.00
_cell_angle_gamma 90.00
_space_group_name_H-M_alt 'I m a 2'
_space_group_IT_number 46
loop_
_space_group_symop_operation_xyz
'x,y,z'
'-x,-y,z'
'-x+1/2,y,z'
'x+1/2,-y,z'
'x+1/2,y+1/2,z+1/2'
'-x+1/2,-y+1/2,z+1/2'
'-x,y+1/2,z+1/2'
'x,-y+1/2,z+1/2'
loop_
_atom_site_label
_atom_site_type_symbol
_atom_site_fract_x
_atom_site_fract_y
_atom_site_fract_z
_atom_site_occupancy
Cu1 Cu 0.2500 0.1909 0.0000 1
Cu2 Cu 0.2500 0.7052 0.8927 1
Bi1 Bi 0.0000 0.0000 0.6896 1
F1 F 0.1154 0.1986 0.6060 1
F2 F 0.1159 0.0793 0.8937 1
F3 F 0.1184 0.7019 0.2715 1
F4 F 0.1191 0.5837 0.9842 1
F5 F 0.2500 0.0412 0.1636 1
F6 F 0.2500 0.1679 0.3490 1
F7 F 0.2500 0.6460 0.5416 1

---

(2)
# Ce8GaCo2, relaxed, DFT PBE
# - DFT formation energy (eV per atom) = -0.115
# - calculated volume (Å³ per cell) = 528.7
data_Ce8GaCo2
_cell_length_a 8.4432
_cell_length_b 13.2052
_cell_length_c 4.8785
_cell_angle_alpha 90.00
_cell_angle_beta 103.59
_cell_angle_gamma 90.00
_space_group_name_H-M_alt 'C 1 2/m 1'
_space_group_IT_number 12
loop_
_space_group_symop_operation_xyz
'x,y,z'
'-x,-y,-z'
'-x,y,-z'
'x,-y,z'
'x+1/2,y+1/2,z'
'-x+1/2,-y+1/2,-z'
'-x+1/2,y+1/2,-z'
'x+1/2,-y+1/2,z'
loop_
_atom_site_label
_atom_site_type_symbol
_atom_site_fract_x
_atom_site_fract_y
_atom_site_fract_z
_atom_site_occupancy
Ce1 Ce 0.0000 0.2414 0.0000 1
Ce2 Ce 0.0907 0.0000 0.7828 1
Ce3 Ce 0.1729 0.3924 0.5590 1
Ga1 Ga 0.0000 0.5000 0.0000 1
Co1 Co 0.0000 0.1962 0.5000 1

---

(3)
# Pu3ScAs4, relaxed, DFT PBE
# - DFT formation energy (eV per atom) = -1.060
# - E above lowest polymorph (meV per atom) = 16
# - calculated volume (Å³ per cell) = 381.2
data_Pu3ScAs4
_cell_length_a 8.1248
_cell_length_b 11.4954
_cell_length_c 4.0816
_cell_angle_alpha 90.00
_cell_angle_beta 90.00
_cell_angle_gamma 90.00
_space_group_name_H-M_alt 'C m m m'
_space_group_IT_number 65
_space_group_name_Hall '-C 2 2'
loop_
_atom_site_label
_atom_site_type_symbol
_atom_site_fract_x
_atom_site_fract_y
_atom_site_fract_z
_atom_site_occupancy
Pu1 Pu 0.0000 0.0000 0.0000 1
Pu2 Pu 0.2500 0.2500 0.5000 1
Sc1 Sc 0.0000 0.5000 0.0000 1
As1 As 0.0000 0.2563 0.0000 1
As2 As 0.2404 0.5000 0.5000 1

---

(4)
# BaTcPO2, relaxed, DFT PBE
# - E above lowest polymorph (meV per atom) = 1760
# - formation energy from raw total energies (eV/atom) = 0.692
# - calculated volume (Å³ per cell) = 123.6
data_BaTcPO2
_cell_length_a 4.3246
_cell_length_b 4.3246
_cell_length_c 6.6091
_cell_angle_alpha 90.00
_cell_angle_beta 90.00
_cell_angle_gamma 90.00
_space_group_name_H-M_alt 'P 4/m m m'
_space_group_IT_number 123
_space_group_name_Hall '-P 4 2'
loop_
_atom_site_label
_atom_site_type_symbol
_atom_site_fract_x
_atom_site_fract_y
_atom_site_fract_z
_atom_site_occupancy
Ba1 Ba 0.0000 0.0000 0.0000 1
Tc1 Tc 0.5000 0.5000 0.5000 1
P1 P 0.0000 0.0000 0.5000 1
O1 O 0.0000 0.5000 0.0000 1

---

(5)
# Hf3Mn4Nb, relaxed, DFT PBE
# - DFT formation energy (eV per atom) = -0.133
# - calculated volume (Å³ per cell) = 123.6
data_Hf3Mn4Nb
_cell_length_a 3.1399
_cell_length_b 4.4508
_cell_length_c 8.8476
_cell_angle_alpha 90.00
_cell_angle_beta 90.00
_cell_angle_gamma 90.00
_space_group_name_H-M_alt 'P m m m'
_space_group_IT_number 47
loop_
_space_group_symop_operation_xyz
'x,y,z'
'-x,-y,-z'
'-x,-y,z'
'x,y,-z'
'x,-y,-z'
'-x,y,z'
'-x,y,-z'
'x,-y,z'
loop_
_atom_site_label
_atom_site_type_symbol
_atom_site_fract_x
_atom_site_fract_y
_atom_site_fract_z
_atom_site_occupancy
Hf1 Hf 0.0000 0.0000 0.0000 1
Hf2 Hf 0.0000 0.5000 0.2514 1
Mn1 Mn 0.5000 0.0000 0.2606 1
Mn2 Mn 0.5000 0.5000 0.0000 1
Mn3 Mn 0.5000 0.5000 0.5000 1
Nb1 Nb 0.0000 0.0000 0.5000 1

---

(6)
# Ta2TiAl, relaxed, DFT PBE
# - DFT formation energy (eV per atom) = -0.163
# - calculated volume (Å³ per cell) = 69.1
data_Ta2TiAl
_cell_length_a 3.9405
_cell_length_b 3.9405
_cell_length_c 4.4473
_cell_angle_alpha 90.00
_cell_angle_beta 90.00
_cell_angle_gamma 90.00
_space_group_name_H-M_alt 'P 4/m m m'
_space_group_IT_number 123
_space_group_name_Hall '-P 4 2'
loop_
_atom_site_label
_atom_site_type_symbol
_atom_site_fract_x
_atom_site_fract_y
_atom_site_fract_z
_atom_site_occupancy
Ta1 Ta 0.0000 0.5000 0.0000 1
Ti1 Ti 0.0000 0.0000 0.5000 1
Al1 Al 0.5000 0.5000 0.5000 1

---

(7)
# Hf7Pd2N2, relaxed, DFT PBE
# - formation energy from raw total energies (eV/atom) = -0.638
# - calculated volume (Å³ per cell) = 392.8
data_Hf7Pd2N2
_cell_length_a 10.1816
_cell_length_b 6.8521
_cell_length_c 5.6512
_cell_angle_alpha 90.00
_cell_angle_beta 94.88
_cell_angle_gamma 90.00
_space_group_name_H-M_alt 'C 1 2/m 1'
_space_group_IT_number 12
loop_
_space_group_symop_operation_xyz
'x,y,z'
'-x,-y,-z'
'-x,y,-z'
'x,-y,z'
'x+1/2,y+1/2,z'
'-x+1/2,-y+1/2,-z'
'-x+1/2,y+1/2,-z'
'x+1/2,-y+1/2,z'
loop_
_atom_site_label
_atom_site_type_symbol
_atom_site_fract_x
_atom_site_fract_y
_atom_site_fract_z
_atom_site_occupancy
Hf1 Hf 0.0000 0.0000 0.0000 1
Hf2 Hf 0.0668 0.5000 0.7796 1
Hf3 Hf 0.2081 0.2814 0.2351 1
Pd1 Pd 0.0000 0.1874 0.5000 1
N1 N 0.2265 0.0000 0.0294 1

---

Question: Among the records above, which one has the lowest calculated volume?
Answer: Ta2TiAl